Model i:
## BS3Cl (PBE)

Data for BS3Cl after structural relaxation.

Total moment   0.00 Bohr magnetons per cell
DOS at the Fermi energy   3.7 states/eV/f.u.

a = 4.696 Å, b = 4.696 Å, c = 4.696 Å
α = 90.00°, β = 90.00°, γ = 90.00°
Fractional positions:
B: 0.000 0.000 0.000
S: 0.000 0.500 0.500
S: 0.500 0.000 0.500
S: 0.500 0.500 0.000
Cl: 0.500 0.500 0.500

---

Model ii:
## BS3Cl (PBE)

Data for BS3Cl after structural relaxation.

Total moment   0.00 Bohr magnetons per cell
DOS at the Fermi energy   3.8 states/eV/f.u.

a = 4.249 Å, b = 4.249 Å, c = 4.249 Å
α = 90.00°, β = 90.00°, γ = 90.00°
Fractional positions:
B: 0.000 0.000 0.000
S: 0.000 0.000 0.500
S: 0.000 0.500 0.000
S: 0.500 0.000 0.000
Cl: 0.500 0.500 0.500

---

Model iii:
## BS3Cl (PBE)

Data for BS3Cl after structural relaxation.

Total moment   0.00 Bohr magnetons per cell
DOS at the Fermi energy   0.0 states/eV/f.u.

a = 5.508 Å, b = 7.048 Å, c = 9.232 Å
α = 70.93°, β = 85.26°, γ = 74.44°
Fractional positions:
B: 0.000 0.000 0.000
B: 0.453 0.764 0.523
S: 0.213 0.009 0.467
S: 0.244 0.776 0.984
S: 0.557 0.765 0.101
S: 0.662 0.043 0.998
S: 0.791 0.724 0.517
S: 0.887 0.954 0.582
Cl: 0.065 0.233 0.998
Cl: 0.384 0.520 0.571

---

model iii comes first in stability; the runner-up is 1248 meV per atom higher.

---

Model i:
## ScBSCl2 (PBE)

Data for ScBSCl2 after structural relaxation.

Total moment   0.00 Bohr magnetons per cell
DOS at the Fermi energy   4.1 states/eV/f.u.

a = 4.354 Å, b = 4.354 Å, c = 4.381 Å
α = 90.00°, β = 90.00°, γ = 90.00°
Fractional positions:
Sc: 0.000 0.000 0.000
B: 0.500 0.500 0.500
S: 0.500 0.500 0.000
Cl: 0.000 0.500 0.500
Cl: 0.500 0.000 0.500

---

Model ii:
## ScBSCl2 (PBE)

Data for ScBSCl2 after structural relaxation.

Total moment   0.00 Bohr magnetons per cell

a = 4.934 Å, b = 4.934 Å, c = 5.032 Å
α = 90.00°, β = 90.00°, γ = 90.00°
Fractional positions:
Sc: 0.000 0.000 0.000
B: 0.500 0.500 0.500
S: 0.000 0.000 0.500
Cl: 0.000 0.500 0.000
Cl: 0.500 0.000 0.000

---

model ii comes first in stability; the runner-up is 109 meV per atom higher.

---

Model i:
## BSeSCl2 (PBE)

Data for BSeSCl2 after structural relaxation.

Total moment   0.00 Bohr magnetons per cell
DOS at the Fermi energy   0.6 states/eV/f.u.

a = 4.936 Å, b = 4.936 Å, c = 4.985 Å
α = 90.00°, β = 90.00°, γ = 90.00°
Fractional positions:
B: 0.000 0.000 0.000
Se: 0.500 0.500 0.500
S: 0.500 0.500 0.000
Cl: 0.000 0.500 0.500
Cl: 0.500 0.000 0.500

---

Model ii:
## BSeSCl2 (PBE)

Data for BSeSCl2 after structural relaxation.

Total moment   0.00 Bohr magnetons per cell
DOS at the Fermi energy   2.1 states/eV/f.u.

a = 3.976 Å, b = 3.976 Å, c = 6.045 Å
α = 90.00°, β = 90.00°, γ = 90.00°
Fractional positions:
B: 0.000 0.000 0.000
Se: 0.500 0.500 0.500
S: 0.000 0.000 0.500
Cl: 0.000 0.500 0.000
Cl: 0.500 0.000 0.000

---

model ii comes first in stability; the runner-up is 446 meV per atom higher.